Model A:
Density functional theory data (GGA-PBEsol) for a relaxed structure of CuP2Au.

Cell and atoms, written as CIF:
```
data_CuP2Au
_cell_length_a 6.189
_cell_length_b 6.189
_cell_length_c 6.189
_cell_angle_alpha 90.00
_cell_angle_beta 90.00
_cell_angle_gamma 90.00
_space_group_name_H-M_alt 'F m -3 m'
_space_group_IT_number 225
_space_group_name_Hall '-F 4 2 3'
loop_
_atom_site_label
_atom_site_fract_x
_atom_site_fract_y
_atom_site_fract_z
_atom_site_occupancy
Cu1 0.000 0.000 0.000 1
P1 0.250 0.250 0.250 1
Au1 0.000 0.000 0.500 1
```

***

Model B:
Density functional theory data (GGA-PBEsol) for a relaxed structure of CuP2Au.

Cell and atoms, written as CIF:
```
data_CuP2Au
_cell_length_a 9.867
_cell_length_b 3.235
_cell_length_c 4.790
_cell_angle_alpha 90.00
_cell_angle_beta 114.98
_cell_angle_gamma 90.00
_space_group_name_H-M_alt 'C 1 2/m 1'
_space_group_IT_number 12
loop_
_space_group_symop_operation_xyz
'x,y,z'
'-x,-y,-z'
'-x,y,-z'
'x,-y,z'
'x+1/2,y+1/2,z'
'-x+1/2,-y+1/2,-z'
'-x+1/2,y+1/2,-z'
'x+1/2,-y+1/2,z'
loop_
_atom_site_label
_atom_site_fract_x
_atom_site_fract_y
_atom_site_fract_z
_atom_site_occupancy
Cu1 0.000 0.000 0.000 1
P1 0.246 0.000 0.151 1
Au1 0.000 0.500 0.500 1
```

***

Name the most stable of them. model B.

***

Model A:
Density functional theory data (GGA-PBEsol) for a relaxed structure of CuPt2Au.

Cell and atoms, written as CIF:
```
data_CuPt2Au
_cell_length_a 2.758
_cell_length_b 3.792
_cell_length_c 5.625
_cell_angle_alpha 90.00
_cell_angle_beta 90.00
_cell_angle_gamma 90.00
_space_group_name_H-M_alt 'P m m 2'
_space_group_IT_number 25
loop_
_space_group_symop_operation_xyz
'x,y,z'
'-x,-y,z'
'-x,y,z'
'x,-y,z'
loop_
_atom_site_label
_atom_site_fract_x
_atom_site_fract_y
_atom_site_fract_z
_atom_site_occupancy
Cu1 0.000 0.000 0.000 1
Pt1 0.000 0.000 0.482 1
Pt2 0.500 0.500 0.235 1
Au1 0.500 0.500 0.752 1
```

***

Model B:
Density functional theory data (GGA-PBEsol) for a relaxed structure of CuPt2Au.

Cell and atoms, written as CIF:
```
data_CuPt2Au
_cell_length_a 2.726
_cell_length_b 4.658
_cell_length_c 4.681
_cell_angle_alpha 90.00
_cell_angle_beta 90.70
_cell_angle_gamma 90.00
_space_group_name_H-M_alt 'P 1 2/m 1'
_space_group_IT_number 10
loop_
_space_group_symop_operation_xyz
'x,y,z'
'-x,-y,-z'
'-x,y,-z'
'x,-y,z'
loop_
_atom_site_label
_atom_site_fract_x
_atom_site_fract_y
_atom_site_fract_z
_atom_site_occupancy
Cu1 0.000 0.000 0.000 1
Pt1 0.241 0.500 0.756 1
Au1 0.500 0.000 0.500 1
```

***

Model C:
Density functional theory data (GGA-PBEsol) for a relaxed structure of CuPt2Au.

Cell and atoms, written as CIF:
```
data_CuPt2Au
_cell_length_a 2.7471
_cell_length_b 2.7471
_cell_length_c 26.9575
_cell_angle_alpha 90.00
_cell_angle_beta 90.00
_cell_angle_gamma 120.00
_space_group_name_H-M_alt 'R -3 m'
_space_group_IT_number 166
_space_group_name_Hall '-R 3 2"'
loop_
_atom_site_label
_atom_site_fract_x
_atom_site_fract_y
_atom_site_fract_z
_atom_site_occupancy
Cu1 0.0000 0.0000 0.0000 1
Pt1 0.0000 0.0000 0.2564 1
Au1 0.0000 0.0000 0.5000 1
```

***

Name the most stable of them. model C.

***

Model A:
Density functional theory data (GGA-PBEsol) for a relaxed structure of CuPt2Au.

Cell and atoms, written as CIF:
```
data_CuPt2Au
_cell_length_a 9.042
_cell_length_b 2.782
_cell_length_c 4.772
_cell_angle_alpha 90.00
_cell_angle_beta 101.13
_cell_angle_gamma 90.00
_space_group_name_H-M_alt 'C 1 m 1'
_space_group_IT_number 8
loop_
_space_group_symop_operation_xyz
'x,y,z'
'x,-y,z'
'x+1/2,y+1/2,z'
'x+1/2,-y+1/2,z'
loop_
_atom_site_label
_atom_site_fract_x
_atom_site_fract_y
_atom_site_fract_z
_atom_site_occupancy
Cu1 0.000 0.000 0.000 1
Pt1 0.006 0.500 0.511 1
Pt2 0.257 0.000 0.746 1
Au1 0.249 0.500 0.237 1
```

***

Model B:
Density functional theory data (GGA-PBEsol) for a relaxed structure of CuPt2Au.

Cell and atoms, written as CIF:
```
data_CuPt2Au
_cell_length_a 2.747
_cell_length_b 4.684
_cell_length_c 9.247
_cell_angle_alpha 90.00
_cell_angle_beta 90.00
_cell_angle_gamma 90.00
_space_group_name_H-M_alt 'C m m m'
_space_group_IT_number 65
_space_group_name_Hall '-C 2 2'
loop_
_atom_site_label
_atom_site_fract_x
_atom_site_fract_y
_atom_site_fract_z
_atom_site_occupancy
Cu1 0.000 0.000 0.000 1
Pt1 0.000 0.500 0.232 1
Au1 0.000 0.000 0.500 1
```

***

Name the most stable of them. model B.

***

Model A:
Density functional theory data (GGA-PBEsol) for a relaxed structure of CuPt2Au.

Cell and atoms, written as CIF:
```
data_CuPt2Au
_cell_length_a 2.751
_cell_length_b 4.631
_cell_length_c 4.660
_cell_angle_alpha 90.00
_cell_angle_beta 90.00
_cell_angle_gamma 90.00
_space_group_name_H-M_alt 'P m m m'
_space_group_IT_number 47
loop_
_space_group_symop_operation_xyz
'x,y,z'
'-x,-y,-z'
'-x,-y,z'
'x,y,-z'
'x,-y,-z'
'-x,y,z'
'-x,y,-z'
'x,-y,z'
loop_
_atom_site_label
_atom_site_fract_x
_atom_site_fract_y
_atom_site_fract_z
_atom_site_occupancy
Cu1 0.000 0.000 0.000 1
Pt1 0.000 0.500 0.500 1
Pt2 0.500 0.000 0.500 1
Au1 0.500 0.500 0.000 1
```

***

Model B:
Density functional theory data (GGA-PBEsol) for a relaxed structure of CuPt2Au.

Cell and atoms, written as CIF:
```
data_CuPt2Au
_cell_length_a 3.876
_cell_length_b 3.876
_cell_length_c 7.821
_cell_angle_alpha 90.00
_cell_angle_beta 90.00
_cell_angle_gamma 90.00
_space_group_name_H-M_alt 'I 4/m m m'
_space_group_IT_number 139
_space_group_name_Hall '-I 4 2'
loop_
_atom_site_label
_atom_site_fract_x
_atom_site_fract_y
_atom_site_fract_z
_atom_site_occupancy
Cu1 0.000 0.000 0.000 1
Pt1 0.000 0.500 0.250 1
Au1 0.000 0.000 0.500 1
```

***

Model C:
Density functional theory data (GGA-PBEsol) for a relaxed structure of CuPt2Au.

Cell and atoms, written as CIF:
```
data_CuPt2Au
_cell_length_a 2.770
_cell_length_b 2.770
_cell_length_c 7.598
_cell_angle_alpha 90.00
_cell_angle_beta 90.00
_cell_angle_gamma 90.00
_space_group_name_H-M_alt 'P 4 m m'
_space_group_IT_number 99
loop_
_space_group_symop_operation_xyz
'x,y,z'
'-y,x,z'
'-x,-y,z'
'y,-x,z'
'-x,y,z'
'y,x,z'
'x,-y,z'
'-y,-x,z'
loop_
_atom_site_label
_atom_site_fract_x
_atom_site_fract_y
_atom_site_fract_z
_atom_site_occupancy
Cu1 0.000 0.000 0.000 1
Pt1 0.000 0.000 0.487 1
Pt2 0.500 0.500 0.227 1
Au1 0.500 0.500 0.760 1
```

***

Model D:
Density functional theory data (GGA-PBEsol) for a relaxed structure of CuPt2Au.

Cell and atoms, written as CIF:
```
data_CuPt2Au
_cell_length_a 3.925
_cell_length_b 3.925
_cell_length_c 7.636
_cell_angle_alpha 90.00
_cell_angle_beta 90.00
_cell_angle_gamma 90.00
_space_group_name_H-M_alt 'I -4 m 2'
_space_group_IT_number 119
_space_group_name_Hall 'I -4 -2'
loop_
_atom_site_label
_atom_site_fract_x
_atom_site_fract_y
_atom_site_fract_z
_atom_site_occupancy
Cu1 0.000 0.000 0.000 1
Pt1 0.000 0.000 0.500 1
Pt2 0.000 0.500 0.250 1
Au1 0.000 0.500 0.750 1
```

***

Name the most stable of them. model C.

***

Model A:
Density functional theory data (GGA-PBEsol) for a relaxed structure of CuPt2Au.

Cell and atoms, written as CIF:
```
data_CuPt2Au
_cell_length_a 2.749
_cell_length_b 4.621
_cell_length_c 9.265
_cell_angle_alpha 90.00
_cell_angle_beta 90.00
_cell_angle_gamma 90.00
_space_group_name_H-M_alt 'I m m m'
_space_group_IT_number 71
_space_group_name_Hall '-I 2 2'
loop_
_atom_site_label
_atom_site_fract_x
_atom_site_fract_y
_atom_site_fract_z
_atom_site_occupancy
Cu1 0.000 0.000 0.000 1
Pt1 0.000 0.500 0.263 1
Au1 0.000 0.000 0.500 1
```

***

Model B:
Density functional theory data (GGA-PBEsol) for a relaxed structure of CuPt2Au.

Cell and atoms, written as CIF:
```
data_CuPt2Au
_cell_length_a 2.7566
_cell_length_b 2.7566
_cell_length_c 26.7481
_cell_angle_alpha 90.00
_cell_angle_beta 90.00
_cell_angle_gamma 120.00
_space_group_name_H-M_alt 'R 3 m'
_space_group_IT_number 160
_space_group_name_Hall 'R 3 -2"'
loop_
_atom_site_label
_atom_site_fract_x
_atom_site_fract_y
_atom_site_fract_z
_atom_site_occupancy
Cu1 0.0000 0.0000 0.0000 1
Pt1 0.0000 0.0000 0.4975 1
Pt2 0.0000 0.0000 0.7436 1
Au1 0.0000 0.0000 0.2536 1
```

***

Name the most stable of them. model A.

***

Model A:
Density functional theory data (GGA-PBEsol) for a relaxed structure of RbCu2Au2.

Cell and atoms, written as CIF:
```
data_RbCu2Au2
_cell_length_a 4.379
_cell_length_b 4.379
_cell_length_c 10.801
_cell_angle_alpha 90.00
_cell_angle_beta 90.00
_cell_angle_gamma 90.00
_space_group_name_H-M_alt 'I 4/m m m'
_space_group_IT_number 139
_space_group_name_Hall '-I 4 2'
loop_
_atom_site_label
_atom_site_fract_x
_atom_site_fract_y
_atom_site_fract_z
_atom_site_occupancy
Rb1 0.000 0.000 0.000 1
Cu1 0.000 0.500 0.250 1
Au1 0.000 0.000 0.373 1
```

***

Model B:
Density functional theory data (GGA-PBEsol) for a relaxed structure of RbCu2Au2.

Cell and atoms, written as CIF:
```
data_RbCu2Au2
_cell_length_a 4.415
_cell_length_b 4.415
_cell_length_c 10.385
_cell_angle_alpha 90.00
_cell_angle_beta 90.00
_cell_angle_gamma 90.00
_space_group_name_H-M_alt 'I 4/m m m'
_space_group_IT_number 139
_space_group_name_Hall '-I 4 2'
loop_
_atom_site_label
_atom_site_fract_x
_atom_site_fract_y
_atom_site_fract_z
_atom_site_occupancy
Rb1 0.000 0.000 0.000 1
Cu1 0.000 0.000 0.380 1
Au1 0.000 0.500 0.250 1
```

***

Name the most stable of them. model A.